The following is a DFT calculation (PBE) of Tm5Bi5H2 after structural relaxation.

a b c (Å): 4.2271 6.3419 11.5746
angles (deg): 94.74 90.00 109.47
Fractional positions:
Tm (0.0883, 0.1767, 0.3224)
Tm (0.6346, 0.2691, 0.8104)
Tm (0.3654, 0.7309, 0.1896)
Tm (0.9117, 0.8233, 0.6776)
Tm (0.0000, 0.0000, 0.0000)
Bi (0.5000, 0.0000, 0.5000)
Bi (0.6636, 0.3272, 0.1121)
Bi (0.8022, 0.6044, 0.3879)
Bi (0.1978, 0.3956, 0.6121)
Bi (0.3364, 0.6728, 0.8879)
H (0.0529, 0.1057, 0.8252)
H (0.9471, 0.8943, 0.1748)

Size of the total moment   0.000 μB/atom
Density   10.778 Mg/m³
E_tot   -4.584 eV/atom
Space-group type   No. 12

The following is a DFT calculation (PBE) of PaTlAgS4 after structural relaxation.

a b c (Å): 7.0783 5.3847 9.5786
angles (deg): 90.00 111.69 90.00
Fractional positions:
Pa (0.7283, 0.7500, 0.4456)
Pa (0.2717, 0.2500, 0.5544)
Tl (0.7274, 0.7500, 0.9580)
Tl (0.2726, 0.2500, 0.0420)
Ag (0.2271, 0.7500, 0.2759)
Ag (0.7729, 0.2500, 0.7241)
S (0.0421, 0.5186, 0.6850)
S (0.9579, 0.0186, 0.3150)
S (0.9579, 0.4814, 0.3150)
S (0.0421, 0.9814, 0.6850)
S (0.4796, 0.7500, 0.1617)
S (0.5204, 0.2500, 0.8383)
S (0.4347, 0.7500, 0.5743)
S (0.5653, 0.2500, 0.4257)

Size of the total moment   0.000 μB/atom
Density   6.574 Mg/m³
E_tot   -5.298 eV/atom
Formation energy from raw total energies   -838 meV/atom
Space-group type   No. 11

The following is a DFT calculation (PBE) of BeNbH after structural relaxation.

a b c (Å): 6.4496 3.4901 4.9991
angles (deg): 90.00 90.00 90.00
Fractional positions:
Be (0.9675, 0.2500, 0.6127)
Be (0.5325, 0.7500, 0.1127)
Be (0.0325, 0.7500, 0.3873)
Be (0.4675, 0.2500, 0.8873)
Nb (0.3248, 0.2500, 0.3729)
Nb (0.1752, 0.7500, 0.8729)
Nb (0.6752, 0.7500, 0.6271)
Nb (0.8248, 0.2500, 0.1271)
H (0.1290, 0.2500, 0.0519)
H (0.3710, 0.7500, 0.5519)
H (0.8710, 0.7500, 0.9481)
H (0.6290, 0.2500, 0.4481)

Size of the total moment   0.000 μB/atom
Density   6.075 Mg/m³
E_tot   -6.056 eV/atom
Offset from the most stable computed form   0.005 eV per atom
Space-group type   No. 62

The following is a DFT calculation (PBE) of TaSn3Se after structural relaxation.

a b c (Å): 5.4069 5.4069 5.4069
angles (deg): 90.00 90.00 90.00
Fractional positions:
Sn (0.0000, 0.5000, 0.0000)
Sn (0.0000, 0.0000, 0.5000)
Sn (0.5000, 0.0000, 0.0000)
Se (0.5000, 0.5000, 0.5000)
Ta (0.0000, 0.0000, 0.0000)

Size of the total moment   0.389 μB/atom
Density   6.472 Mg/m³
E_tot   -4.937 eV/atom
Offset from the most stable computed form   0.000 eV per atom
Formation energy from raw total energies   532 meV/atom
Space-group type   No. 221

The following is a DFT calculation (PBE) of AcDyBi2 after structural relaxation.

a b c (Å): 4.0081 4.0081 11.3853
angles (deg): 79.86 79.86 60.00
Fractional positions:
Ac (0.0000, 0.0000, 0.0000)
Bi (0.1000, 0.1000, 0.7001)
Bi (0.9000, 0.9000, 0.2999)
Dy (0.5000, 0.5000, 0.5000)

ΔH_f (0 K)   -189 meV/atom
Size of the total moment   0.000 μB/atom
Density   8.645 Mg/m³
E_tot   -4.307 eV/atom
Offset from the most stable computed form   0.725 eV per atom
Space-group type   No. 166

The following is a DFT calculation (PBE) of Na2Li9Ca after structural relaxation.

a b c (Å): 5.9965 5.9965 10.2998
angles (deg): 73.08 73.08 60.00
Fractional positions:
Na (0.8579, 0.8579, 0.4263)
Na (0.1421, 0.1421, 0.5737)
Li (0.6659, 0.6659, 0.0023)
Li (0.3341, 0.3341, 0.9977)
Li (0.5000, 0.5000, 0.5000)
Li (0.4171, 0.4171, 0.2460)
Li (0.9199, 0.4171, 0.2460)
Li (0.4171, 0.9199, 0.2460)
Li (0.5829, 0.5829, 0.7540)
Li (0.5829, 0.0801, 0.7540)
Li (0.0801, 0.5829, 0.7540)
Ca (0.0000, 0.0000, 0.0000)

ΔH_f (0 K)   41 meV/atom
Size of the total moment   0.000 μB/atom
Density   0.816 Mg/m³
E_tot   -1.781 eV/atom
Space-group type   No. 166

The following is a DFT calculation (PBE) of Nd5DyBi6 after structural relaxation.

a b c (Å): 7.9480 7.9466 7.9483
angles (deg): 60.01 80.39 70.49
Fractional positions:
Nd (0.5000, 0.1686, 0.6629)
Nd (0.0000, 0.3340, 0.3320)
Nd (0.5000, 0.5000, 0.0000)
Nd (0.0000, 0.6660, 0.6680)
Nd (0.5000, 0.8314, 0.3371)
Dy (0.0000, 0.0000, 0.0000)
Bi (0.7535, 0.0820, 0.3288)
Bi (0.2465, 0.5893, 0.3288)
Bi (0.2483, 0.2455, 0.0000)
Bi (0.7517, 0.7545, 0.0000)
Bi (0.7535, 0.4107, 0.6712)
Bi (0.2465, 0.9180, 0.6712)

ΔH_f (0 K)   -932 meV/atom
Size of the total moment   0.000 μB/atom
Density   8.661 Mg/m³
E_tot   -5.243 eV/atom
Space-group type   No. 12

The following is a DFT calculation (PBE) of SrMoRh3 after structural relaxation.

a b c (Å): 4.7823 4.7823 4.7823
angles (deg): 90.00 90.00 90.00
Fractional positions:
Sr (0.5000, 0.5000, 0.5000)
Mo (0.0000, 0.0000, 0.0000)
Rh (0.0000, 0.5000, 0.0000)
Rh (0.0000, 0.0000, 0.5000)
Rh (0.5000, 0.0000, 0.0000)

ΔH_f (0 K)   339 meV/atom
Size of the total moment   0.000 μB/atom
Density   7.474 Mg/m³
E_tot   -6.574 eV/atom
Offset from the most stable computed form   0.000 eV per atom
Space-group type   No. 221

The following is a DFT calculation (PBE) of Li2MgTc after structural relaxation.

a b c (Å): 4.7923 2.6091 5.1272
angles (deg): 85.57 90.00 90.00
Fractional positions:
Li (0.0000, 0.0393, 0.9679)
Li (0.0000, 0.4607, 0.5321)
Mg (0.5000, 0.2500, 0.2500)
Tc (0.5000, 0.7500, 0.7500)

ΔH_f (0 K)   245 meV/atom
Size of the total moment   0.059 μB/atom
Density   3.538 Mg/m³
E_tot   -3.702 eV/atom
Space-group type   No. 10

The following is a DFT calculation (PBE) of AsPIr3 after structural relaxation.

a b c (Å): 4.5743 4.5743 4.5743
angles (deg): 90.00 90.00 90.00
Fractional positions:
P (0.5000, 0.5000, 0.5000)
As (0.0000, 0.0000, 0.0000)
Ir (0.0000, 0.5000, 0.0000)
Ir (0.0000, 0.0000, 0.5000)
Ir (0.5000, 0.0000, 0.0000)

ΔH_f (0 K)   1389 meV/atom
Size of the total moment   0.198 μB/atom
Density   11.842 Mg/m³
E_tot   -5.939 eV/atom
Offset from the most stable computed form   0.707 eV per atom
Space-group type   No. 221

The following is a DFT calculation (PBE) of Sc2TaSb after structural relaxation.

a b c (Å): 4.8795 4.8795 4.8795
angles (deg): 60.00 60.00 60.00
Fractional positions:
Sb (0.5000, 0.5000, 0.5000)
Sc (0.0000, 0.0000, 0.0000)
Sc (0.2500, 0.2500, 0.2500)
Ta (0.7500, 0.7500, 0.7500)

Size of the total moment   0.481 μB/atom
Density   7.936 Mg/m³
E_tot   -7.178 eV/atom
Formation energy from raw total energies   -19 meV/atom
Space-group type   No. 216

The following is a DFT calculation (PBE) of TmTl2Br5 after structural relaxation.

a b c (Å): 7.9490 9.5048 10.1005
angles (deg): 64.13 66.83 65.28
Fractional positions:
Tm (0.9503, 0.7833, 0.3145)
Tm (0.9518, 0.2833, 0.8145)
Tl (0.6339, 0.4679, 0.3182)
Tl (0.2647, 0.0995, 0.3116)
Tl (0.5799, 0.9679, 0.8182)
Tl (0.3243, 0.5995, 0.8116)
Br (0.6984, 0.3100, 0.6772)
Br (0.0376, 0.5497, 0.1851)
Br (0.2059, 0.2573, 0.9511)
Br (0.3144, 0.8100, 0.1772)
Br (0.2275, 0.0497, 0.6851)
Br (0.5858, 0.7573, 0.4511)
Br (0.6767, 0.5170, 0.9441)
Br (0.8622, 0.0170, 0.4441)
Br (0.8063, 0.0336, 0.0643)
Br (0.0958, 0.5336, 0.5643)

Size of the total moment   0.000 μB/atom
Density   5.386 Mg/m³
E_tot   -3.563 eV/atom
Offset from the most stable computed form   0.000 eV per atom
Formation energy from raw total energies   -1366 meV/atom
Space-group type   No. 9

Repeat the ninth record exactly.
The following is a DFT calculation (PBE) of Li2MgTc after structural relaxation.

a b c (Å): 4.7923 2.6091 5.1272
angles (deg): 85.57 90.00 90.00
Fractional positions:
Li (0.0000, 0.0393, 0.9679)
Li (0.0000, 0.4607, 0.5321)
Mg (0.5000, 0.2500, 0.2500)
Tc (0.5000, 0.7500, 0.7500)

ΔH_f (0 K)   245 meV/atom
Size of the total moment   0.059 μB/atom
Density   3.538 Mg/m³
E_tot   -3.702 eV/atom
Space-group type   No. 10